[1]
Compound: Pt2PbAu2
Source: Alexandria via LeMat-Bulk
Functional: PBE
Structure: optimized geometry

Results
- Crystal system: tetragonal
- Energy of formation from the pure elements: 84 meV/atom
- Magnetization: 0.00 μB per formula unit
- Space-group type: I4/mmm, No. 139

```
Pt2PbAu2
1.0
3.9498 0.0000 0.0000
0.0000 3.9498 0.0000
1.9749 1.9749 6.6029
Pb Au Pt
1 2 2
direct
0.0000 0.0000 0.0000
0.7500 0.2500 0.5000
0.2500 0.7500 0.5000
0.4010 0.4010 0.1980
0.5990 0.5990 0.8020
```


[2]
Compound: Pt2PbAu
Source: Alexandria via LeMat-Bulk
Functional: PBE
Structure: optimized geometry

Results
- Crystal system: monoclinic
- Energy of formation from the pure elements: 16 meV/atom
- Magnetization: 0.00 μB per formula unit
- Space-group type: C2/m, No. 12

```
Pt2PbAu
1.0
6.8264 -0.0104 -0.0248
-2.4966 3.8990 0.0276
1.8333 1.1699 2.7977
Au Pb Pt
1 1 2
direct
0.0000 0.5000 0.5000
0.5000 0.5000 0.0000
0.0000 0.0000 0.0000
0.5000 0.0000 0.5000
```


[3]
Compound: Pt4Pb7Au
Source: Alexandria via LeMat-Bulk
Functional: PBE
Structure: optimized geometry

Results
- Crystal system: monoclinic
- Energy of formation from the pure elements: -121 meV/atom
- Magnetization: 0.00 μB per formula unit
- Space-group type: Cm, No. 8

```
Pt4Pb7Au
1.0
3.8262 0.0000 0.0000
-1.9131 6.6262 -1.8620
0.0000 -0.2602 12.1861
Pt Pb Au
4 7 1
direct
0.7108 0.4216 0.8189
0.3090 0.6180 0.2095
0.0134 0.0268 0.0044
0.1093 0.2185 0.4193
0.7348 0.4696 0.3533
0.2357 0.4715 0.6457
0.3543 0.7085 0.9555
0.6726 0.3452 0.0485
0.0511 0.1022 0.7911
0.9590 0.9181 0.2080
0.4699 0.9398 0.4565
0.8801 0.7603 0.5895
```


[4]
Compound: PtPb2Au
Source: Alexandria via LeMat-Bulk
Functional: PBE
Structure: optimized geometry

Results
- Crystal system: tetragonal
- Energy of formation from the pure elements: 71 meV/atom
- Magnetization: 0.00 μB per formula unit
- Space-group type: I-42d, No. 122

```
PtPb2Au
1.0
-4.4778 4.4084 -4.9279
3.9117 -3.0322 -6.2669
-2.3366 -1.5954 -5.7743
Pb Au Pt
4 2 2
direct
0.6019 0.1250 0.2500
0.1481 0.6250 0.2500
0.3750 0.3981 0.7500
0.8750 0.8519 0.7500
0.0000 0.0000 0.0000
0.7500 0.2500 0.5000
0.5000 0.5000 0.0000
0.2500 0.7500 0.5000
```


[5]
Compound: Pt3PbAu
Source: Alexandria via LeMat-Bulk
Functional: PBE
Structure: optimized geometry

Results
- Crystal system: cubic
- Energy of formation from the pure elements: 1317 meV/atom
- Magnetization: 0.00 μB per formula unit
- Space-group type: Pm-3m, No. 221

```
Pt3PbAu
1.0
-4.4601 2.0971 1.0569
-2.3409 -3.7898 -2.3590
-0.1868 -2.5782 4.3273
Pb Au Pt
1 1 3
direct
0.0000 0.0000 0.0000
0.5000 0.5000 0.5000
0.0000 0.5000 0.0000
0.0000 0.0000 0.5000
0.5000 0.0000 0.0000
```


[6]
Compound: PtPb2Au2
Source: Alexandria via LeMat-Bulk
Functional: PBE
Structure: optimized geometry

Results
- Crystal system: tetragonal
- Energy of formation from the pure elements: 44 meV/atom
- Magnetization: 0.00 μB per formula unit
- Space-group type: P4/mbm, No. 127

```
PtPb2Au2
1.0
-2.0553 6.5451 -2.3575
-3.3242 1.2355 6.3281
3.6893 1.7346 1.5994
Pb Au Pt
4 4 2
direct
0.1745 0.6745 0.5000
0.6745 0.8255 0.5000
0.8255 0.3255 0.5000
0.3255 0.1745 0.5000
0.3605 0.8605 0.0000
0.8605 0.6395 0.0000
0.6395 0.1395 0.0000
0.1395 0.3605 0.0000
0.0000 0.0000 0.0000
0.5000 0.5000 0.0000
```


[7]
Compound: PtPb2Au
Source: Alexandria via LeMat-Bulk
Functional: PBE
Structure: optimized geometry

Results
- Crystal system: orthorhombic
- Energy of formation from the pure elements: -5 meV/atom
- Magnetization: 0.00 μB per formula unit
- Space-group type: Pmmm, No. 47

```
PtPb2Au
1.0
-1.8567 4.2370 -2.2028
-4.6521 -2.1050 -0.1277
-0.6912 1.3364 3.1532
Au Pb Pt
1 2 1
direct
0.0000 0.5000 0.5000
0.0000 0.0000 0.0000
0.5000 0.5000 0.0000
0.5000 0.0000 0.5000
```


[8]
Compound: Pt2PbAu
Source: Alexandria via LeMat-Bulk
Functional: PBE
Structure: optimized geometry

Results
- Crystal system: monoclinic
- Energy of formation from the pure elements: 14 meV/atom
- Magnetization: 0.00 μB per formula unit
- Space-group type: C2/m, No. 12

```
Pt2PbAu
1.0
5.0464 -0.1673 0.1822
3.4245 3.7105 0.1822
1.5571 0.6513 3.9233
Au Pb Pt
1 1 2
direct
0.7500 0.7500 0.7500
0.2500 0.2500 0.2500
0.9992 0.9992 0.0002
0.5008 0.5008 0.4998
```


[9]
Compound: PtPb6Au2
Source: Alexandria via LeMat-Bulk
Functional: PBE
Structure: optimized geometry

Results
- Crystal system: monoclinic
- Energy of formation from the pure elements: -86 meV/atom
- Magnetization: 0.00 μB per formula unit
- Space-group type: C2/m, No. 12

```
PtPb6Au2
1.0
5.0180 -0.0858 -1.2736
-0.6838 6.2414 -3.1148
-0.5582 0.0882 8.1850
Pt Pb Au
1 6 2
direct
0.0000 0.0000 0.0000
0.1621 0.4230 0.3250
0.8379 0.0980 0.6750
0.8379 0.5770 0.6750
0.5000 0.2283 0.0000
0.1621 0.9020 0.3250
0.5000 0.7717 0.0000
0.6664 0.6670 0.3339
0.3336 0.3330 0.6661
```


[10]
Compound: Pt3PbAu
Source: Alexandria via LeMat-Bulk
Functional: PBE
Structure: optimized geometry

Results
- Crystal system: cubic
- Energy of formation from the pure elements: 979 meV/atom
- Magnetization: 0.00 μB per formula unit
- Space-group type: Pm-3m, No. 221

```
Pt3PbAu
1.0
4.9987 0.0000 0.0000
0.0000 4.9987 0.0000
0.0000 0.0000 4.9987
Pb Au Pt
1 1 3
direct
0.5000 0.5000 0.5000
0.0000 0.0000 0.0000
0.0000 0.5000 0.0000
0.0000 0.0000 0.5000
0.5000 0.0000 0.0000
```


[11]
Compound: Pt2PbAu
Source: Alexandria via LeMat-Bulk
Functional: PBE
Structure: optimized geometry

Results
- Crystal system: monoclinic
- Energy of formation from the pure elements: 35 meV/atom
- Magnetization: 0.00 μB per formula unit
- Space-group type: Cm, No. 8

```
Pt2PbAu
1.0
5.4184 -0.2321 0.3071
4.4746 3.0645 0.3071
1.5156 0.4339 4.3857
Au Pb Pt
1 1 2
direct
0.4863 0.4863 0.5744
0.2602 0.2602 0.1893
0.0119 0.0119 0.0609
0.7416 0.7416 0.6753
```


[12]
Compound: Pt2PbAu
Source: Alexandria via LeMat-Bulk
Functional: PBE
Structure: optimized geometry

Results
- Crystal system: tetragonal
- Energy of formation from the pure elements: 112 meV/atom
- Magnetization: 0.00 μB per formula unit
- Space-group type: I-42d, No. 122

```
Pt2PbAu
1.0
7.4942 0.0000 0.0000
0.0000 7.4942 0.0000
3.7471 3.7471 2.8488
Pb Au Pt
2 2 4
direct
0.0000 0.0000 0.0000
0.7500 0.2500 0.5000
0.5000 0.5000 0.0000
0.2500 0.7500 0.5000
0.6224 0.1250 0.2500
0.1276 0.6250 0.2500
0.3750 0.3776 0.7500
0.8750 0.8724 0.7500
```